Entry 1:
# PBE NpSi2Os4, optimized geometry
# Energy relative to the elements, uncorrected, eV per atom: -0.284
# Energy, eV for the cell shown: -141.38
# V, Å³/cell: 221.1
# Spin magnetization, μB/cell: 6.67
# Crystal system: tetragonal
# Energy above the most stable polymorph in this dataset, eV/f.u.: 0.07
# D(E_F), states/eV per atom: 1.45
data_NpSi2Os4
_chemical_formula_sum 'Np2 Si4 Os8'
_space_group_name_H-M_alt 'P 42/m n m'
_space_group_IT_number 136
_space_group_name_Hall '-P 4n 2n'
_cell_length_a 7.539
_cell_length_b 7.539
_cell_length_c 3.889
_cell_angle_alpha 90.00
_cell_angle_beta 90.00
_cell_angle_gamma 90.00
loop_
_atom_site_label
_atom_site_type_symbol
_atom_site_fract_x
_atom_site_fract_y
_atom_site_fract_z
Np1 Np 0.000 0.000 0.000
Si1 Si 0.219 0.219 0.500
Os1 Os 0.079 0.660 0.500

Entry 2:
# PBE DyEr6Tm3Sc2, optimized geometry
# Energy, eV for the cell shown: -115.20
# Energy of formation, eV per atom: 0.038
# V, Å³/cell: 705.1
# Spin magnetization, μB/cell: 0.00
# Crystal system: monoclinic
# D(E_F), states/eV per atom: 1.49
data_DyEr6Tm3Sc2
_chemical_formula_sum 'Dy2 Er12 Tm6 Sc4'
_space_group_name_H-M_alt 'C 1 2/m 1'
_space_group_IT_number 12
_space_group_name_Hall '-C 2y'
_cell_length_a 6.006
_cell_length_b 10.389
_cell_length_c 11.475
_cell_angle_alpha 90.00
_cell_angle_beta 100.02
_cell_angle_gamma 90.00
loop_
_atom_site_label
_atom_site_type_symbol
_atom_site_fract_x
_atom_site_fract_y
_atom_site_fract_z
Dy1 Dy 0.000 0.000 0.000
Er1 Er 0.247 0.500 0.246
Er2 Er 0.250 0.168 0.246
Tm1 Tm 0.000 0.167 0.500
Tm2 Tm 0.000 0.500 0.500
Sc1 Sc 0.000 0.333 0.000

Entry 3:
# PBE RbMo2I, optimized geometry
# Energy relative to the elements, uncorrected, eV per atom: 2.025
# Energy, eV for the cell shown: -64.33
# V, Å³/cell: 347.7
# Spin magnetization, μB/cell: 15.75
# Crystal system: cubic
# Energy above the most stable polymorph in this dataset, eV/f.u.: 2.92
# D(E_F), states/eV per atom: 1.36
data_RbMo2I
_chemical_formula_sum 'Rb4 Mo8 I4'
_space_group_name_H-M_alt 'F m -3 m'
_space_group_IT_number 225
_space_group_name_Hall '-F 4 2 3'
_cell_length_a 7.032
_cell_length_b 7.032
_cell_length_c 7.032
_cell_angle_alpha 90.00
_cell_angle_beta 90.00
_cell_angle_gamma 90.00
loop_
_atom_site_label
_atom_site_type_symbol
_atom_site_fract_x
_atom_site_fract_y
_atom_site_fract_z
Rb1 Rb 0.000 0.000 0.000
Mo1 Mo 0.250 0.250 0.250
I1 I 0.000 0.000 0.500

Entry 4:
# PBE LiCo2Re, optimized geometry
# Energy, eV for the cell shown: -55.61
# Energy of formation, eV per atom: 0.192
# V, Å³/cell: 95.7
# Spin magnetization, μB/cell: 0.02
# Crystal system: orthorhombic
# Energy above the most stable polymorph in this dataset, eV/f.u.: 0.18
# D(E_F), states/eV per atom: 1.31
data_LiCo2Re
_chemical_formula_sum 'Li2 Co4 Re2'
_space_group_name_H-M_alt 'C m m m'
_space_group_IT_number 65
_space_group_name_Hall '-C 2 2'
_cell_length_a 5.430
_cell_length_b 6.779
_cell_length_c 2.600
_cell_angle_alpha 90.00
_cell_angle_beta 90.00
_cell_angle_gamma 90.00
loop_
_atom_site_label
_atom_site_type_symbol
_atom_site_fract_x
_atom_site_fract_y
_atom_site_fract_z
Li1 Li 0.000 0.000 0.000
Co1 Co 0.250 0.250 0.500
Re1 Re 0.000 0.500 0.000

Entry 5:
# PBE LiGa2Os, optimized geometry
# Energy, eV for the cell shown: -19.60
# Energy of formation, eV per atom: -0.100
# V, Å³/cell: 56.4
# Spin magnetization, μB/cell: 0.00
# Crystal system: tetragonal
# D(E_F), states/eV per atom: 0.56
data_LiGa2Os
_chemical_formula_sum 'Li1 Ga2 Os1'
_space_group_name_H-M_alt 'P 4/m m m'
_space_group_IT_number 123
_space_group_name_Hall '-P 4 2'
_cell_length_a 4.288
_cell_length_b 4.288
_cell_length_c 3.068
_cell_angle_alpha 90.00
_cell_angle_beta 90.00
_cell_angle_gamma 90.00
loop_
_atom_site_label
_atom_site_type_symbol
_atom_site_fract_x
_atom_site_fract_y
_atom_site_fract_z
Li1 Li 0.000 0.000 0.000
Ga1 Ga 0.000 0.500 0.500
Os1 Os 0.500 0.500 0.000

Entry 6:
# PBE BaP3O, optimized geometry
# Energy relative to the elements, uncorrected, eV per atom: 0.115
# Energy, eV for the cell shown: -22.54
# V, Å³/cell: 94.3
# Spin magnetization, μB/cell: 0.00
# Crystal system: cubic
# Energy above the most stable polymorph in this dataset, eV/f.u.: 0.00
# D(E_F), states/eV per atom: 0.70
data_BaP3O
_chemical_formula_sum 'Ba1 P3 O1'
_space_group_name_H-M_alt 'P m -3 m'
_space_group_IT_number 221
_space_group_name_Hall '-P 4 2 3'
_cell_length_a 4.551
_cell_length_b 4.551
_cell_length_c 4.551
_cell_angle_alpha 90.00
_cell_angle_beta 90.00
_cell_angle_gamma 90.00
loop_
_atom_site_label
_atom_site_type_symbol
_atom_site_fract_x
_atom_site_fract_y
_atom_site_fract_z
Ba1 Ba 0.000 0.000 0.000
P1 P 0.000 0.500 0.500
O1 O 0.500 0.500 0.500

Entry 7:
# PBE AgPH, optimized geometry
# Energy, eV for the cell shown: -22.61
# V, Å³/cell: 101.1
# Spin magnetization, μB/cell: 0.00
# Crystal system: triclinic
# Energy above the most stable polymorph in this dataset, eV/f.u.: 0.07
# D(E_F), states/eV per atom: 0.01
data_AgPH
_chemical_formula_sum 'Ag2 P2 H2'
_space_group_name_H-M_alt 'P 1'
_space_group_IT_number 1
_space_group_name_Hall 'P 1'
_cell_length_a 4.549
_cell_length_b 4.685
_cell_length_c 5.660
_cell_angle_alpha 75.04
_cell_angle_beta 89.10
_cell_angle_gamma 61.07
loop_
_atom_site_label
_atom_site_type_symbol
_atom_site_fract_x
_atom_site_fract_y
_atom_site_fract_z
Ag1 Ag 0.000 0.000 0.000
Ag2 Ag 0.360 0.271 0.291
P1 P 0.856 0.700 0.440
P2 P 0.925 0.574 0.849
H1 H 0.574 0.749 0.887
H2 H 0.684 0.518 0.412

Entry 8:
# PBE Tb2NiOs3, optimized geometry
# Energy, eV for the cell shown: -101.54
# Energy of formation, eV per atom: -0.339
# V, Å³/cell: 211.3
# Spin magnetization, μB/cell: 0.00
# Crystal system: monoclinic
# D(E_F), states/eV per atom: 0.58
data_Tb2NiOs3
_chemical_formula_sum 'Tb4 Ni2 Os6'
_space_group_name_H-M_alt 'C 1 2/m 1'
_space_group_IT_number 12
_space_group_name_Hall '-C 2y'
_cell_length_a 9.125
_cell_length_b 5.259
_cell_length_c 5.352
_cell_angle_alpha 90.00
_cell_angle_beta 124.64
_cell_angle_gamma 90.00
loop_
_atom_site_label
_atom_site_type_symbol
_atom_site_fract_x
_atom_site_fract_y
_atom_site_fract_z
Tb1 Tb 0.123 0.000 0.369
Ni1 Ni 0.000 0.500 0.500
Os1 Os 0.000 0.500 0.000
Os2 Os 0.250 0.250 0.000

Entry 9:
# PBE LaGa4Ag12, optimized geometry
# Energy, eV for the cell shown: -96.22
# Energy of formation, eV per atom: 0.185
# V, Å³/cell: 744.4
# Spin magnetization, μB/cell: 0.00
# Crystal system: cubic
# D(E_F), states/eV per atom: 0.33
data_LaGa4Ag12
_chemical_formula_sum 'La2 Ga8 Ag24'
_space_group_name_H-M_alt 'I m -3'
_space_group_IT_number 204
_space_group_name_Hall '-I 2 2 3'
_cell_length_a 9.063
_cell_length_b 9.063
_cell_length_c 9.063
_cell_angle_alpha 90.00
_cell_angle_beta 90.00
_cell_angle_gamma 90.00
loop_
_atom_site_label
_atom_site_type_symbol
_atom_site_fract_x
_atom_site_fract_y
_atom_site_fract_z
La1 La 0.000 0.000 0.000
Ga1 Ga 0.250 0.250 0.250
Ag1 Ag 0.000 0.155 0.347

Entry 10:
# PBE AcTm2BiO8, optimized geometry
# Energy relative to the elements, uncorrected, eV per atom: -2.335
# Energy, eV for the cell shown: -84.62
# V, Å³/cell: 169.0
# Spin magnetization, μB/cell: 0.00
# Crystal system: monoclinic
# D(E_F), states/eV per atom: 0.04
data_AcTm2BiO8
_chemical_formula_sum 'Ac1 Tm2 Bi1 O8'
_space_group_name_H-M_alt 'P 1 2/m 1'
_space_group_IT_number 10
_space_group_name_Hall '-P 2y'
_cell_length_a 5.384
_cell_length_b 3.678
_cell_length_c 8.559
_cell_angle_alpha 90.00
_cell_angle_beta 94.39
_cell_angle_gamma 90.00
loop_
_atom_site_label
_atom_site_type_symbol
_atom_site_fract_x
_atom_site_fract_y
_atom_site_fract_z
Ac1 Ac 0.000 0.000 0.000
Tm1 Tm 0.492 0.500 0.717
Bi1 Bi 0.000 0.000 0.500
O1 O 0.205 0.000 0.722
O2 O 0.248 0.500 0.482
O3 O 0.294 0.000 0.229
O4 O 0.367 0.500 0.968

Entry 11:
# PBE TbHo2Al, optimized geometry
# Energy, eV for the cell shown: -51.26
# Energy of formation, eV per atom: 0.110
# V, Å³/cell: 352.7
# Spin magnetization, μB/cell: 2.47
# Crystal system: trigonal
# Energy above the most stable polymorph in this dataset, eV/f.u.: 1.24
# D(E_F), states/eV per atom: 1.28
data_TbHo2Al
_chemical_formula_sum 'Tb3 Ho6 Al3'
_space_group_name_H-M_alt 'R -3 m'
_space_group_IT_number 166
_space_group_name_Hall '-R 3 2"'
_cell_length_a 3.4430
_cell_length_b 3.4430
_cell_length_c 34.3574
_cell_angle_alpha 90.00
_cell_angle_beta 90.00
_cell_angle_gamma 120.00
loop_
_atom_site_label
_atom_site_type_symbol
_atom_site_fract_x
_atom_site_fract_y
_atom_site_fract_z
Tb1 Tb 0.0000 0.0000 0.0000
Ho1 Ho 0.0000 0.0000 0.1003
Al1 Al 0.0000 0.0000 0.5000

Entry 12:
# PBE Zn2TcTe, optimized geometry
# Energy relative to the elements, uncorrected, eV per atom: 0.273
# Energy, eV for the cell shown: -14.96
# V, Å³/cell: 68.8
# Spin magnetization, μB/cell: 0.31
# Crystal system: tetragonal
# D(E_F), states/eV per atom: 0.91
data_Zn2TcTe
_chemical_formula_sum 'Zn2 Tc1 Te1'
_space_group_name_H-M_alt 'P 4/m m m'
_space_group_IT_number 123
_space_group_name_Hall '-P 4 2'
_cell_length_a 3.578
_cell_length_b 3.578
_cell_length_c 5.370
_cell_angle_alpha 90.00
_cell_angle_beta 90.00
_cell_angle_gamma 90.00
loop_
_atom_site_label
_atom_site_type_symbol
_atom_site_fract_x
_atom_site_fract_y
_atom_site_fract_z
Zn1 Zn 0.000 0.000 0.224
Tc1 Tc 0.500 0.500 0.000
Te1 Te 0.500 0.500 0.500

> The highest D(E_F) belongs to which entry?

DyEr6Tm3Sc2

Please write out number 3 again, unchanged.
# PBE RbMo2I, optimized geometry
# Energy relative to the elements, uncorrected, eV per atom: 2.025
# Energy, eV for the cell shown: -64.33
# V, Å³/cell: 347.7
# Spin magnetization, μB/cell: 15.75
# Crystal system: cubic
# Energy above the most stable polymorph in this dataset, eV/f.u.: 2.92
# D(E_F), states/eV per atom: 1.36
data_RbMo2I
_chemical_formula_sum 'Rb4 Mo8 I4'
_space_group_name_H-M_alt 'F m -3 m'
_space_group_IT_number 225
_space_group_name_Hall '-F 4 2 3'
_cell_length_a 7.032
_cell_length_b 7.032
_cell_length_c 7.032
_cell_angle_alpha 90.00
_cell_angle_beta 90.00
_cell_angle_gamma 90.00
loop_
_atom_site_label
_atom_site_type_symbol
_atom_site_fract_x
_atom_site_fract_y
_atom_site_fract_z
Rb1 Rb 0.000 0.000 0.000
Mo1 Mo 0.250 0.250 0.250
I1 I 0.000 0.000 0.500

> Which value of D(E_F) does entry 7 give?

0.01 states/eV per atom

> Which value of energy does entry 9 give?

-96.22 eV for the cell shown